DFT (PBE with a Hubbard U) results for an optimized crystal structure of Pr3Cr5O12.

Cell: 11.136 11.136 11.136 Å, 109.47 109.47 109.47°
Each line ends with the local moment (μB).
Atoms (fractional coordinates):
Pr: 0.750 0.375 0.125  0.02
Pr: 0.875 0.750 0.125  0.02
Pr: 0.375 0.750 0.625  0.02
Pr: 0.250 0.125 0.375  0.02
Pr: 0.875 0.125 0.250  0.02
Pr: 0.375 0.625 0.250  0.02
Pr: 0.625 0.375 0.750  0.02
Pr: 0.125 0.875 0.750  0.02
Pr: 0.750 0.875 0.625  0.02
Pr: 0.625 0.250 0.375  0.02
Pr: 0.125 0.250 0.875  0.02
Pr: 0.250 0.625 0.875  0.02
Cr: 0.125 0.375 0.250  2.93
Cr: 0.000 0.500 0.000  3.00
Cr: 0.000 0.000 0.000  3.00
Cr: 0.375 0.250 0.125  2.93
Cr: 0.500 0.000 0.500  3.00
Cr: 0.500 0.500 0.000  3.00
Cr: 0.125 0.750 0.375  2.93
Cr: 0.750 0.125 0.875  2.93
Cr: 0.750 0.625 0.375  2.93
Cr: 0.375 0.125 0.750  2.93
Cr: 0.625 0.875 0.250  2.93
Cr: 0.500 0.500 0.500  3.00
Cr: 0.500 0.000 0.000  3.00
Cr: 0.000 0.000 0.500  3.00
Cr: 0.250 0.375 0.625  2.93
Cr: 0.250 0.875 0.125  2.93
Cr: 0.000 0.500 0.500  3.00
Cr: 0.875 0.250 0.625  2.93
Cr: 0.625 0.750 0.875  2.93
Cr: 0.875 0.625 0.750  2.93
O: 0.699 0.125 0.024  -0.03
O: 0.325 0.524 0.399  -0.03
O: 0.976 0.375 0.301  -0.03
O: 0.524 0.199 0.125  -0.03
O: 0.574 0.699 0.675  -0.03
O: 0.976 0.601 0.175  -0.03
O: 0.325 0.801 0.426  -0.03
O: 0.101 0.926 0.125  -0.03
O: 0.601 0.976 0.675  -0.03
O: 0.699 0.574 0.175  -0.03
O: 0.801 0.476 0.375  -0.03
O: 0.825 0.899 0.024  -0.03
O: 0.125 0.699 0.524  -0.03
O: 0.375 0.399 0.074  -0.03
O: 0.074 0.899 0.375  -0.03
O: 0.426 0.125 0.601  -0.03
O: 0.074 0.175 0.199  -0.03
O: 0.476 0.675 0.101  -0.03
O: 0.825 0.926 0.301  -0.03
O: 0.125 0.426 0.101  -0.03
O: 0.375 0.976 0.801  -0.03
O: 0.601 0.625 0.426  -0.03
O: 0.899 0.825 0.524  -0.03
O: 0.801 0.325 0.926  -0.03
O: 0.399 0.375 0.574  -0.03
O: 0.101 0.175 0.476  -0.03
O: 0.199 0.675 0.074  -0.03
O: 0.175 0.074 0.699  -0.03
O: 0.625 0.024 0.199  -0.03
O: 0.875 0.574 0.899  -0.03
O: 0.524 0.325 0.899  -0.03
O: 0.574 0.875 0.399  -0.03
O: 0.926 0.825 0.801  -0.03
O: 0.926 0.101 0.625  -0.03
O: 0.875 0.301 0.476  -0.03
O: 0.175 0.101 0.976  -0.03
O: 0.625 0.601 0.926  -0.03
O: 0.399 0.024 0.325  -0.03
O: 0.301 0.426 0.825  -0.03
O: 0.199 0.524 0.625  -0.03
O: 0.899 0.074 0.875  -0.03
O: 0.675 0.199 0.574  -0.03
O: 0.476 0.801 0.875  -0.03
O: 0.024 0.399 0.825  -0.03
O: 0.426 0.301 0.325  -0.03
O: 0.024 0.625 0.699  -0.03
O: 0.675 0.476 0.601  -0.03
O: 0.301 0.875 0.976  -0.03

Its total energy is -0.2910 hartree per atom. Its space-group type is Ia-3d (230). As for the crystal system: cubic.